w | This record from Alexandria via LeMat-Bulk describes LiZnSe after structural relaxation. The functional is PBE.

The space group is I-4m2 (No. 119) and the conventional cell measures 4.0231, 4.0231 and 7.1486 Å, with angles of 90.00, 90.00 and 90.00 degrees. Symmetry generates all atoms from Li at (0.0000, 0.0000, 0.0000), Zn at (0.0000, 0.5000, 0.7500) and Se at (0.0000, 0.5000, 0.2500).

Its crystal system is tetragonal.


x | This record from Alexandria via LeMat-Bulk describes LiZnSe after structural relaxation. The functional is PBE.

The space group is F-43m (No. 216) and the conventional cell measures 6.2935, 6.2935 and 6.2935 Å, with angles of 90.00, 90.00 and 90.00 degrees. Symmetry generates all atoms from Li at (0.0000, 0.0000, 0.0000), Zn at (0.2500, 0.2500, 0.7500) and Se at (0.0000, 0.0000, 0.5000).

Its crystal system is cubic.


y | This record from Alexandria via LeMat-Bulk describes LiZnSe after structural relaxation. The functional is PBE.

The space group is Cm (No. 8) and the conventional cell measures 7.6656, 4.4221 and 5.0834 Å, with angles of 90.00, 91.70 and 90.00 degrees. Symmetry generates all atoms from Li at (0.0000, 0.0000, 0.0000), Zn at (0.3329, 0.0000, 0.5006) and Se at (0.3331, 0.0000, 0.0006).

Its crystal system is monoclinic.


z | This record from Alexandria via LeMat-Bulk describes LiZnSe after structural relaxation. The functional is PBE.

The space group is P2/m (No. 10) and the conventional cell measures 3.8175, 3.8184 and 5.0088 Å, with angles of 90.00, 90.09 and 90.00 degrees. Symmetry generates all atoms from Li at (0.0000, 0.0000, 0.0000), Zn at (0.5000, 0.5000, 0.5000) and Se at (0.5000, 0.5000, 0.0000).

Its crystal system is monoclinic.


What should be chosen as the least stable of them? Choose x.


w | This record from Alexandria via LeMat-Bulk describes LiZnSe after structural relaxation. The functional is PBE.

The space group is P3m1 (No. 156) and the conventional cell measures 3.9914, 3.9914 and 4.2941 Å, with angles of 90.00, 90.00 and 120.00 degrees. Symmetry generates all atoms from Li at (0.0000, 0.0000, 0.0000), Zn at (0.6667, 0.3333, 0.5749) and Se at (0.3333, 0.6667, 0.2986).

Its crystal system is trigonal.


x | This record from Alexandria via LeMat-Bulk describes LiZnSe after structural relaxation. The functional is PBE.

The space group is Pmmm (No. 47) and the conventional cell measures 3.6484, 3.9752 and 4.0597 Å, with angles of 90.00, 90.00 and 90.00 degrees. Symmetry generates all atoms from Li at (0.0000, 0.0000, 0.0000), Zn at (0.0000, 0.5000, 0.5000) and Se at (0.5000, 0.0000, 0.5000).

Its crystal system is orthorhombic.


y | This record from Alexandria via LeMat-Bulk describes LiZnSe after structural relaxation. The functional is PBE.

The space group is P1 (No. 1) and the conventional cell measures 4.0810, 4.0926 and 4.5957 Å, with angles of 89.47, 68.57 and 60.24 degrees. Symmetry generates all atoms from Li at (0.0000, 0.0000, 0.0000), Zn at (0.0077, 0.4906, 0.5854) and Se at (0.4949, 0.7533, 0.2761).

Its crystal system is triclinic.


What should be chosen as the least stable of them? Choose w.